Here is crystalline MgCrRe2 at its relaxed geometry from Alexandria via LeMat-Bulk. Energies are from PBE-GGA.

ΔE_f in meV per atom: 320
Magnetization in μB/atom: 0.00
E in eV per atom: -8.71

a = 3.0510 Å, b = 3.0510 Å, c = 6.4090 Å
α = 90.00°, β = 90.00°, γ = 90.00°
Element x y z (fractional)
Re (0.0000, 0.0000, 0.0385)
Re (0.0000, 0.0000, 0.4615)
Mg (0.5000, 0.5000, 0.7500)
Cr (0.5000, 0.5000, 0.2500)

---

Here is crystalline Ag2RuSe2 at its relaxed geometry from Alexandria via LeMat-Bulk. Energies are from PBE-GGA.

Distance to the lowest polymorph of the same formula in meV per atom: 199
Formation energy (no corrections) in eV/atom: 0.806
Magnetization in μB/atom: 0.48
E in eV per atom: -3.58

a = 3.7042 Å, b = 3.7042 Å, c = 8.0993 Å
α = 76.78°, β = 76.78°, γ = 90.00°
Each line ends with the local moment (μB).
Element x y z (fractional)
Ru (0.0000, 0.0000, 0.0000)  2.16
Se (0.2500, 0.7500, 0.5000)  0.02
Se (0.7500, 0.2500, 0.5000)  0.02
Ag (0.4108, 0.4108, 0.1783)  0.04
Ag (0.5892, 0.5892, 0.8217)  0.04